No. 1
VASP calculation (PBE) on ThBiTe after structural relaxation.

Geometry as CIF:
```
data_ThBiTe
_chemical_formula_sum 'Th2 Bi2 Te2'
_symmetry_space_group_name_H-M 'P 1'
_symmetry_Int_Tables_number 1
_cell_length_a 4.530
_cell_length_b 4.530
_cell_length_c 9.236
_cell_angle_alpha 90.00
_cell_angle_beta 90.00
_cell_angle_gamma 90.00
loop_
_symmetry_equiv_pos_as_xyz
'x,y,z'
loop_
_atom_site_label
_atom_site_fract_x
_atom_site_fract_y
_atom_site_fract_z
Th1 0.000 0.500 0.724
Th2 0.500 0.000 0.276
Bi1 0.000 0.000 0.000
Bi2 0.500 0.500 0.000
Te1 0.000 0.500 0.367
Te2 0.500 0.000 0.633
```

Properties
Space group = No. 129

***

No. 2
VASP calculation (PBE) on OsRu2Au after structural relaxation.

Geometry as CIF:
```
data_OsRu2Au
_chemical_formula_sum 'Os1 Ru2 Au1'
_symmetry_space_group_name_H-M 'P 1'
_symmetry_Int_Tables_number 1
_cell_length_a 4.800
_cell_length_b 4.800
_cell_length_c 4.800
_cell_angle_alpha 132.28
_cell_angle_beta 132.28
_cell_angle_gamma 69.79
loop_
_symmetry_equiv_pos_as_xyz
'x,y,z'
loop_
_atom_site_label
_atom_site_fract_x
_atom_site_fract_y
_atom_site_fract_z
Au1 0.250 0.750 0.500
Os1 0.750 0.250 0.500
Ru1 0.000 0.000 0.000
Ru2 0.500 0.500 0.000
```

Properties
Space group = No. 139
Energy relative to the elements = 1.75 eV/f.u.

***

Number 1: density of states at the Fermi level 1.658 states/eV/f.u., final energy -34.283 eV for the cell shown. Number 2: density of states at the Fermi level 6.066 states/eV/f.u., final energy -31.305 eV for the cell shown.